AlHgRu2: optimized geometry, PBE.

The structure in POSCAR format:
```
AlHgRu2
1.0
4.8426 -0.0016 0.0000
1.5814 4.5771 0.0000
-3.2120 -2.2877 2.8107
Hg Ru Al
1 2 1
direct
0.7500 0.2500 0.5000
0.0000 0.0000 0.0000
0.2500 0.7500 0.5000
0.5000 0.5000 0.0000
```

Summary:
**Total energy**: -5.4203 eV per atom
**ΔE to the lowest computed polymorph**: 202 meV per atom



AlHgRu2: optimized geometry, PBE.

The structure in POSCAR format:
```
AlHgRu2
1.0
3.9756 0.0000 0.0000
0.0000 3.9756 0.0000
1.9878 1.9878 9.2363
Al Hg Ru
2 2 4
direct
0.2500 0.7500 0.5000
0.5000 0.5000 0.0000
0.0000 0.0000 0.0000
0.7500 0.2500 0.5000
0.2110 0.6250 0.2500
0.3750 0.4610 0.7500
0.5390 0.1250 0.2500
0.8750 0.7890 0.7500
```

Summary:
**Total energy**: -5.1452 eV per atom
**ΔE to the lowest computed polymorph**: 477 meV per atom



AlHgRu2: optimized geometry, PBE.

The structure in POSCAR format:
```
AlHgRu2
1.0
0.0000 3.1450 3.1450
3.1450 0.0000 3.1450
3.1450 3.1450 0.0000
Ru Al Hg
2 1 1
direct
0.7500 0.7500 0.7500
0.2500 0.2500 0.2500
0.0000 0.0000 0.0000
0.5000 0.5000 0.5000
```

Summary:
**Total energy**: -5.4803 eV per atom
**ΔE to the lowest computed polymorph**: 142 meV per atom



Q: Among the records above, which one has the lowest total energy?
A: number 3



Q: Among the records above, which one has the highest total energy?
A: number 2



Please write out number 3 again, unchanged.
AlHgRu2: optimized geometry, PBE.

The structure in POSCAR format:
```
AlHgRu2
1.0
0.0000 3.1450 3.1450
3.1450 0.0000 3.1450
3.1450 3.1450 0.0000
Ru Al Hg
2 1 1
direct
0.7500 0.7500 0.7500
0.2500 0.2500 0.2500
0.0000 0.0000 0.0000
0.5000 0.5000 0.5000
```

Summary:
**Total energy**: -5.4803 eV per atom
**ΔE to the lowest computed polymorph**: 142 meV per atom